# 1
# PBE BaLi2DyCl8, optimized geometry
data_BaLi2DyCl8
_cell_length_a 6.6332
_cell_length_b 6.6332
_cell_length_c 8.7422
_cell_angle_alpha 90.00
_cell_angle_beta 90.00
_cell_angle_gamma 120.00
_space_group_name_H-M_alt 'P -3'
_space_group_IT_number 147
loop_
_space_group_symop_operation_xyz
'x,y,z'
'-x,-y,-z'
'-y,x-y,z'
'y,-x+y,-z'
'-x+y,-x,z'
'x-y,x,-z'
loop_
_atom_site_label
_atom_site_fract_x
_atom_site_fract_y
_atom_site_fract_z
_atom_site_occupancy
Ba1 0.0000 0.0000 0.0000 1
Li1 0.3333 0.6667 0.7316 1
Dy1 0.0000 0.0000 0.5000 1
Cl1 0.0049 0.6956 0.3079 1
Cl2 0.3333 0.6667 0.0008 1
# Uncorrected energy: -0.290 Ry/atom
# E_form (uncorrected): -22.22 eV/f.u.
# Theoretical density: 2978 kg/m³
# Magnetic moment: 1.19 Bohr magnetons per cell

***

# 2
# PBE BaNaDyCl6, optimized geometry
data_BaNaDyCl6
_cell_length_a 7.1247
_cell_length_b 7.1247
_cell_length_c 13.2305
_cell_angle_alpha 90.00
_cell_angle_beta 90.00
_cell_angle_gamma 120.00
_space_group_name_H-M_alt 'P -3 1 c'
_space_group_IT_number 163
_space_group_name_Hall '-P 3 2c'
loop_
_atom_site_label
_atom_site_fract_x
_atom_site_fract_y
_atom_site_fract_z
_atom_site_occupancy
Ba1 0.0000 0.0000 0.0000 1
Na1 0.3333 0.6667 0.2500 1
Dy1 0.3333 0.6667 0.7500 1
Cl1 0.0193 0.3676 0.6360 1
# Uncorrected energy: -0.321 Ry/atom
# E_form (uncorrected): -20.39 eV/f.u.
# Theoretical density: 3058 kg/m³
# Magnetic moment: 0.00 Bohr magnetons per cell

***

# 3
# PBE BaDyClO2, optimized geometry
data_BaDyClO2
_cell_length_a 4.2498
_cell_length_b 4.2498
_cell_length_c 6.6079
_cell_angle_alpha 90.00
_cell_angle_beta 90.00
_cell_angle_gamma 90.00
_space_group_name_H-M_alt 'P 4 m m'
_space_group_IT_number 99
loop_
_space_group_symop_operation_xyz
'x,y,z'
'-y,x,z'
'-x,-y,z'
'y,-x,z'
'-x,y,z'
'y,x,z'
'x,-y,z'
'-y,-x,z'
loop_
_atom_site_label
_atom_site_fract_x
_atom_site_fract_y
_atom_site_fract_z
_atom_site_occupancy
Ba1 0.0000 0.0000 0.0000 1
Dy1 0.5000 0.5000 0.3318 1
Cl1 0.5000 0.5000 0.7443 1
O1 0.0000 0.5000 0.2272 1
# Uncorrected energy: -0.486 Ry/atom
# E_form (uncorrected): -14.80 eV/f.u.
# Theoretical density: 5110 kg/m³
# Magnetic moment: 0.00 Bohr magnetons per cell

***

# 4
# PBE BaDyTe2Cl, optimized geometry
data_BaDyTe2Cl
_cell_length_a 8.9816
_cell_length_b 4.4872
_cell_length_c 9.4622
_cell_angle_alpha 90.00
_cell_angle_beta 104.88
_cell_angle_gamma 90.00
_space_group_name_H-M_alt 'P 1 21/m 1'
_space_group_IT_number 11
loop_
_space_group_symop_operation_xyz
'x,y,z'
'-x,-y,-z'
'-x,y+1/2,-z'
'x,-y+1/2,z'
loop_
_atom_site_label
_atom_site_fract_x
_atom_site_fract_y
_atom_site_fract_z
_atom_site_occupancy
Ba1 0.2333 0.2500 0.3163 1
Dy1 0.3321 0.2500 0.8264 1
Te1 0.3123 0.7500 0.0502 1
Te2 0.3585 0.7500 0.6136 1
Cl1 0.0233 0.2500 0.7289 1
# Uncorrected energy: -0.349 Ry/atom
# E_form (uncorrected): -9.10 eV/f.u.
# Theoretical density: 5321 kg/m³
# Magnetic moment: 0.00 Bohr magnetons per cell

***

# 5
# PBE BaDyTlCl6, optimized geometry
data_BaDyTlCl6
_cell_length_a 7.6640
_cell_length_b 7.6640
_cell_length_c 12.9703
_cell_angle_alpha 90.00
_cell_angle_beta 90.00
_cell_angle_gamma 120.00
_space_group_name_H-M_alt 'P -3 1 c'
_space_group_IT_number 163
_space_group_name_Hall '-P 3 2c'
loop_
_atom_site_label
_atom_site_fract_x
_atom_site_fract_y
_atom_site_fract_z
_atom_site_occupancy
Ba1 0.3333 0.6667 0.2500 1
Dy1 0.3333 0.6667 0.7500 1
Tl1 0.0000 0.0000 0.0000 1
Cl1 0.0428 0.3852 0.6340 1
# Uncorrected energy: -0.317 Ry/atom
# E_form (uncorrected): -18.81 eV/f.u.
# Theoretical density: 3609 kg/m³
# Magnetic moment: 0.00 Bohr magnetons per cell

***

# 6
# PBE BaErCl5, optimized geometry
data_BaErCl5
_cell_length_a 5.5632
_cell_length_b 19.2655
_cell_length_c 6.8394
_cell_angle_alpha 90.00
_cell_angle_beta 93.00
_cell_angle_gamma 90.00
_space_group_name_H-M_alt 'C 1 2/c 1'
_space_group_IT_number 15
loop_
_space_group_symop_operation_xyz
'x,y,z'
'-x,-y,-z'
'-x,y,-z+1/2'
'x,-y,z+1/2'
'x+1/2,y+1/2,z'
'-x+1/2,-y+1/2,-z'
'-x+1/2,y+1/2,-z+1/2'
'x+1/2,-y+1/2,z+1/2'
loop_
_atom_site_label
_atom_site_fract_x
_atom_site_fract_y
_atom_site_fract_z
_atom_site_occupancy
Ba1 0.0000 0.1711 0.2500 1
Er1 0.0000 0.4240 0.2500 1
Cl1 0.0000 0.1262 0.7500 1
Cl2 0.0078 0.3142 0.0008 1
Cl3 0.2404 0.4696 0.5936 1
# Uncorrected energy: -0.338 Ry/atom
# E_form (uncorrected): -16.50 eV/f.u.
# Theoretical density: 4372 kg/m³
# Magnetic moment: 0.00 Bohr magnetons per cell

***

Among the records above, which one has the highest uncorrected energy?
BaLi2DyCl8